# TiSICl2, relaxed, DFT GGA-PBE
# - E_form (uncorrected): -60.69 kJ per mole of atoms
data_TiSICl2
_chemical_formula_sum 'Ti1 S1 I1 Cl2'
_space_group_name_H-M_alt 'P 4/m m m'
_space_group_IT_number 123
_space_group_name_Hall '-P 4 2'
_cell_length_a 4.7507
_cell_length_b 4.7507
_cell_length_c 5.1081
_cell_angle_alpha 90.00
_cell_angle_beta 90.00
_cell_angle_gamma 90.00
loop_
_atom_site_label
_atom_site_type_symbol
_atom_site_fract_x
_atom_site_fract_y
_atom_site_fract_z
Ti1 Ti 0.0000 0.0000 0.0000
S1 S 0.0000 0.0000 0.5000
I1 I 0.5000 0.5000 0.5000
Cl1 Cl 0.0000 0.5000 0.0000